VASP calculation (PBE+U) on a geometry-optimized ZnFeO2 structure.

Results
**Offset from the most stable computed form**: 138 meV per atom
**N(E_F)**: 0.00 states/eV/f.u.

Unit cell a=5.556 b=3.119 c=10.372 alpha=90.00 beta=90.00 gamma=90.00
Fractional positions:
Zn  0.105  0.250  0.116
Zn  0.395  0.750  0.616
Zn  0.605  0.250  0.384
Zn  0.895  0.750  0.884
Fe  0.089  0.750  0.378
Fe  0.411  0.250  0.878
Fe  0.589  0.750  0.122
Fe  0.911  0.250  0.622
O  0.069  0.750  0.719
O  0.234  0.750  0.997
O  0.266  0.250  0.497
O  0.431  0.250  0.219
O  0.569  0.750  0.781
O  0.734  0.750  0.503
O  0.766  0.250  0.003
O  0.931  0.250  0.281